A relaxed structure of Ho3Tm2Se6, computed with PBE.

Calculated values
- total magnetization (μB/cell) = 0.0
- calculated density (Mg/m³) = 7.51
- E_form (uncorrected) (meV/atom) = -1752
- space-group type = R-3m

Cell: 20.279 20.279 20.279 Å, 11.51 11.51 11.51°
Atoms (fractional coordinates):
Ho 0.000 0.000 0.000
Ho 0.280 0.280 0.280
Ho 0.720 0.720 0.720
Tm 0.446 0.446 0.446
Tm 0.554 0.554 0.554
Se 0.082 0.082 0.082
Se 0.198 0.198 0.198
Se 0.360 0.360 0.360
Se 0.640 0.640 0.640
Se 0.802 0.802 0.802
Se 0.918 0.918 0.918